1.
This record from Alexandria describes H2S3F after structural relaxation. The functional is PBE-GGA.

Computed properties:
**Symmetry**: P-1, No. 2
**Total energy**: -0.2781 Ry per atom

Cell: 3.6876 9.4944 9.8537 Å, 68.38 88.28 89.66°
Last column: nearest neighbours and their distance in Å.
Atoms (fractional coordinates):
H: 0.0412 0.4681 0.3320  1 S 1.39
H: 0.0419 0.1589 0.3308  1 S 1.40
H: 0.9581 0.8411 0.6692  1 S 1.40
H: 0.9588 0.5319 0.6680  1 S 1.39
S: 0.0071 0.5770 0.3954  1 H 1.39
S: 0.0084 0.0016 0.3959  1 H 1.40
S: 0.3185 0.4266 0.0360  1 S 1.86
S: 0.6815 0.5734 0.9640  1 S 1.86
S: 0.9916 0.9984 0.6041  1 H 1.40
S: 0.9929 0.4230 0.6046  1 H 1.39
F: 0.0873 0.3446 0.2479  2 H 1.65-1.67
F: 0.9127 0.6554 0.7521  2 H 1.65-1.67

2.
This record from Alexandria describes HS2F after structural relaxation. The functional is PBE-GGA.

Computed properties:
**Symmetry**: Fm-3m, No. 225
**Total energy**: -0.1830 Ry per atom
**Energy above the most stable polymorph in this dataset**: 1228.6 meV per atom

Cell: 3.9902 3.9902 3.9902 Å, 60.00 60.00 60.00°
Last column: nearest neighbours and their distance in Å.
Atoms (fractional coordinates):
H: 0.0000 0.0000 0.0000  8 S 2.44
S: 0.2500 0.2500 0.2500  4 H 2.44, 4 F 2.44
S: 0.7500 0.7500 0.7500  4 F 2.44, 4 H 2.44
F: 0.5000 0.5000 0.5000  8 S 2.44

3.
This record from Alexandria describes HS6F2 after structural relaxation. The functional is PBE-GGA.

Computed properties:
**Symmetry**: C2/m, No. 12
**Total energy**: -0.2775 Ry per atom

Cell: 7.6032 7.6032 3.9763 Å, 93.25 93.25 128.59°
Last column: nearest neighbours and their distance in Å.
Atoms (fractional coordinates):
H: 0.0000 0.0000 0.0000  2 S 1.64
S: 0.2061 0.2061 0.8118  1 H 1.64
S: 0.2404 0.4846 0.0801  2 S 2.00-2.17
S: 0.4846 0.2404 0.0801  2 S 2.00-2.17
S: 0.5154 0.7596 0.9199  2 S 2.00-2.17
S: 0.7596 0.5154 0.9199  2 S 2.00-2.17
S: 0.7939 0.7939 0.1882  1 H 1.64
F: 0.1052 0.8948 0.5000  2 S 2.24, 2 H 2.46
F: 0.8948 0.1052 0.5000  2 S 2.24, 2 H 2.46

4.
This record from Alexandria describes SbHS2F after structural relaxation. The functional is PBE-GGA.

Computed properties:
**Symmetry**: P4/mmm, No. 123
**Total energy**: -0.2550 Ry per atom

Cell: 5.8170 5.8170 2.5588 Å, 90.00 90.00 90.00°
Last column: nearest neighbours and their distance in Å.
Atoms (fractional coordinates):
Sb: 0.0000 0.0000 0.0000  2 Sb 2.56
H: 0.5000 0.5000 0.0000  2 F 1.28
S: 0.0000 0.5000 0.5000  2 S 2.56
S: 0.5000 0.0000 0.5000  2 S 2.56
F: 0.5000 0.5000 0.5000  2 H 1.28

5.
This record from Alexandria describes ScH2SF after structural relaxation. The functional is PBE-GGA.

Computed properties:
**Symmetry**: P4/mmm, No. 123
**Total energy**: -0.3237 Ry per atom

Cell: 3.2598 3.2598 6.0497 Å, 90.00 90.00 90.00°
Last column: nearest neighbours and their distance in Å.
Atoms (fractional coordinates):
Sc: 0.0000 0.0000 0.0000  4 F 2.31
H: 0.0000 0.5000 0.5000  2 S 1.63
H: 0.5000 0.0000 0.5000  2 S 1.63
S: 0.5000 0.5000 0.5000  4 H 1.63
F: 0.5000 0.5000 0.0000  4 Sc 2.31

6.
This record from Alexandria describes HSeS2F after structural relaxation. The functional is PBE-GGA.

Computed properties:
**Symmetry**: P4/mmm, No. 123
**Total energy**: -0.2101 Ry per atom

Cell: 4.9295 4.9295 3.4035 Å, 90.00 90.00 90.00°
Last column: nearest neighbours and their distance in Å.
Atoms (fractional coordinates):
H: 0.0000 0.0000 0.0000  2 Se 1.70
Se: 0.0000 0.0000 0.5000  2 H 1.70
S: 0.0000 0.5000 0.5000  2 Se 2.46
S: 0.5000 0.0000 0.5000  2 Se 2.46
F: 0.5000 0.5000 0.0000  8 S 3.00

Q: Number 2 is which compound?
A: HS2F